Sc4CuAgPd2 | PBE | optimized geometry

Properties
The space group is R-3m (166). The formation energy is -56.11 kJ per mole of atoms.

Cell: 4.712 4.712 8.178 Å, 73.26 73.26 60.00°
Fractional positions:
Sc (0.872, 0.872, 0.384)
Sc (0.128, 0.128, 0.616)
Sc (0.378, 0.378, 0.865)
Sc (0.622, 0.622, 0.135)
Ag (0.000, 0.000, 0.000)
Pd (0.749, 0.749, 0.752)
Pd (0.251, 0.251, 0.248)
Cu (0.500, 0.500, 0.500)



CuSiAg2Pd | PBE | optimized geometry

Properties
The space group is P4/mmm (123). Its final energy is -3.2544 eV/atom.

Cell: 4.699 4.676 4.699 Å, 90.00 90.00 90.00°
Fractional positions:
Ag (0.500, 0.000, 0.000)
Ag (0.000, 0.000, 0.500)
Pd (0.000, 0.500, 0.000)
Cu (0.000, 0.000, 0.000)
Si (0.500, 0.500, 0.500)



SmCuAgPd | PBE | optimized geometry

Properties
The space group is F-43m (216). The formation energy is -31.19 kJ per mole of atoms.

Cell: 4.783 4.783 4.783 Å, 60.00 60.00 60.00°
Fractional positions:
Sm (0.000, 0.000, 0.000)
Pd (0.750, 0.750, 0.750)
Cu (0.250, 0.250, 0.250)
Ag (0.500, 0.500, 0.500)



Cu2AgSnPd | PBE | optimized geometry

Properties
The space group is P4/mmm (123). The formation energy is 61.82 kJ per mole of atoms.

Cell: 4.688 4.688 5.056 Å, 90.00 90.00 90.00°
Fractional positions:
Pd (0.000, 0.000, 0.000)
Ag (0.000, 0.000, 0.500)
Sn (0.500, 0.500, 0.500)
Cu (0.500, 0.000, 0.000)
Cu (0.000, 0.500, 0.000)



Sr2Cu5AgPd2 | PBE | optimized geometry

Properties
The space group is P4/mbm (127). The formation energy is -8.34 kJ per mole of atoms.

Cell: 3.880 9.758 9.758 Å, 90.00 90.00 90.00°
Fractional positions:
Cu (0.500, 0.695, 0.444)
Cu (0.500, 0.195, 0.056)
Cu (0.500, 0.805, 0.944)
Cu (0.500, 0.444, 0.305)
Cu (0.500, 0.500, 0.000)
Cu (0.500, 0.944, 0.195)
Cu (0.500, 0.056, 0.805)
Cu (0.500, 0.000, 0.500)
Cu (0.500, 0.305, 0.556)
Cu (0.500, 0.556, 0.695)
Ag (0.000, 0.500, 0.500)
Ag (0.000, 0.000, 0.000)
Pd (0.000, 0.123, 0.623)
Pd (0.000, 0.377, 0.123)
Pd (0.000, 0.877, 0.377)
Pd (0.000, 0.623, 0.877)
Sr (0.000, 0.823, 0.677)
Sr (0.000, 0.177, 0.323)
Sr (0.000, 0.323, 0.823)
Sr (0.000, 0.677, 0.177)



Sr2CuAg2Pd5 | PBE | optimized geometry

Properties
The space group is P4/mbm (127). The formation energy is -24.80 kJ per mole of atoms.

Cell: 3.910 10.092 10.092 Å, 90.00 90.00 90.00°
Fractional positions:
Pd (0.500, 0.553, 0.689)
Pd (0.500, 0.053, 0.811)
Pd (0.500, 0.447, 0.311)
Pd (0.500, 0.689, 0.447)
Pd (0.500, 0.500, 0.000)
Pd (0.500, 0.189, 0.053)
Pd (0.500, 0.947, 0.189)
Pd (0.500, 0.811, 0.947)
Pd (0.500, 0.311, 0.553)
Pd (0.500, 0.000, 0.500)
Sr (0.000, 0.827, 0.673)
Sr (0.000, 0.327, 0.827)
Sr (0.000, 0.673, 0.173)
Sr (0.000, 0.173, 0.327)
Ag (0.000, 0.871, 0.371)
Ag (0.000, 0.629, 0.871)
Ag (0.000, 0.129, 0.629)
Ag (0.000, 0.371, 0.129)
Cu (0.000, 0.000, 0.000)
Cu (0.000, 0.500, 0.500)



SrCuAgPd3 | PBE | optimized geometry

Properties
The space group is Cmcm (63). The formation energy is -8.03 kJ per mole of atoms.

Cell: 5.770 6.631 7.149 Å, 117.63 90.00 90.00°
Fractional positions:
Pd (0.750, 0.855, 0.709)
Pd (0.000, 0.701, 0.000)
Pd (0.000, 0.299, 0.000)
Pd (0.500, 0.701, 0.000)
Pd (0.500, 0.299, 0.000)
Pd (0.250, 0.145, 0.291)
Cu (0.250, 0.358, 0.716)
Cu (0.750, 0.642, 0.284)
Ag (0.750, 0.084, 0.168)
Ag (0.250, 0.916, 0.832)
Sr (0.250, 0.690, 0.381)
Sr (0.750, 0.310, 0.619)



TbCuAgPd | PBE | optimized geometry

Properties
The space group is F-43m (216). The formation energy is -35.71 kJ per mole of atoms.

Cell: 4.726 4.726 4.726 Å, 60.00 60.00 60.00°
Fractional positions:
Ag (0.000, 0.000, 0.000)
Cu (0.250, 0.250, 0.250)
Pd (0.750, 0.750, 0.750)
Tb (0.500, 0.500, 0.500)



CuTcAgPd2 | PBE | optimized geometry

Properties
The space group is P4/mmm (123). The formation energy is 115.71 kJ per mole of atoms.

Cell: 4.763 4.682 4.763 Å, 90.00 90.00 90.00°
Fractional positions:
Pd (0.500, 0.000, 0.000)
Pd (0.000, 0.000, 0.500)
Ag (0.500, 0.500, 0.500)
Tc (0.000, 0.000, 0.000)
Cu (0.000, 0.500, 0.000)



TiCuAg2Pd | PBE | optimized geometry

Properties
The space group is P4/mmm (123). The formation energy is 117.87 kJ per mole of atoms.

Cell: 4.926 4.546 4.926 Å, 90.00 90.00 90.00°
Last column: magnetic moment on the atom in μB.
Fractional positions:
Pd (0.500, 0.500, 0.500)  0.12
Ti (0.000, 0.000, 0.000)  1.15
Cu (0.000, 0.500, 0.000)  0.08
Ag (0.500, 0.000, 0.000)  0.08
Ag (0.000, 0.000, 0.500)  0.10



Tl2Cu2AgPd5 | PBE | optimized geometry

Properties
The space group is P4/mbm (127). The formation energy is -3.80 kJ per mole of atoms.

Cell: 4.049 9.209 9.209 Å, 90.00 90.00 90.00°
Fractional positions:
Pd (0.500, 0.698, 0.416)
Pd (0.500, 0.802, 0.916)
Pd (0.500, 0.584, 0.698)
Pd (0.500, 0.302, 0.584)
Pd (0.500, 0.416, 0.302)
Pd (0.500, 0.500, 0.000)
Pd (0.500, 0.198, 0.084)
Pd (0.500, 0.916, 0.198)
Pd (0.500, 0.000, 0.500)
Pd (0.500, 0.084, 0.802)
Ag (0.000, 0.500, 0.500)
Ag (0.000, 0.000, 0.000)
Cu (0.000, 0.623, 0.877)
Cu (0.000, 0.377, 0.123)
Cu (0.000, 0.877, 0.377)
Cu (0.000, 0.123, 0.623)
Tl (0.000, 0.673, 0.173)
Tl (0.000, 0.827, 0.673)
Tl (0.000, 0.173, 0.327)
Tl (0.000, 0.327, 0.827)



TlCuAgPd | PBE | optimized geometry

Properties
The space group is F-43m (216). The formation energy is 4.97 kJ per mole of atoms.

Cell: 4.610 4.610 4.610 Å, 60.00 60.00 60.00°
Fractional positions:
Cu (0.000, 0.000, 0.000)
Pd (0.500, 0.500, 0.500)
Tl (0.750, 0.750, 0.750)
Ag (0.250, 0.250, 0.250)



Tm4CuAgPd2 | PBE | optimized geometry

Properties
The space group is R-3m (166). The formation energy is -59.72 kJ per mole of atoms.

Cell: 4.931 4.931 8.543 Å, 73.23 73.23 60.00°
Fractional positions:
Tm (0.872, 0.872, 0.383)
Tm (0.128, 0.128, 0.617)
Tm (0.622, 0.622, 0.134)
Tm (0.378, 0.378, 0.866)
Pd (0.749, 0.749, 0.753)
Pd (0.251, 0.251, 0.247)
Ag (0.000, 0.000, 0.000)
Cu (0.500, 0.500, 0.500)



Zn5Cu2Ag2Pd | PBE | optimized geometry

Properties
The space group is P4/mbm (127). The formation energy is -8.84 kJ per mole of atoms.

Cell: 3.730 9.040 9.040 Å, 90.00 90.00 90.00°
Fractional positions:
Zn (0.500, 0.000, 0.500)
Zn (0.500, 0.079, 0.804)
Zn (0.500, 0.196, 0.079)
Zn (0.500, 0.500, 0.000)
Zn (0.500, 0.696, 0.421)
Zn (0.500, 0.921, 0.196)
Zn (0.500, 0.579, 0.696)
Zn (0.500, 0.804, 0.921)
Zn (0.500, 0.421, 0.304)
Zn (0.500, 0.304, 0.579)
Ag (0.000, 0.327, 0.827)
Ag (0.000, 0.173, 0.327)
Ag (0.000, 0.827, 0.673)
Ag (0.000, 0.673, 0.173)
Pd (0.000, 0.500, 0.500)
Pd (0.000, 0.000, 0.000)
Cu (0.000, 0.122, 0.622)
Cu (0.000, 0.622, 0.878)
Cu (0.000, 0.378, 0.122)
Cu (0.000, 0.878, 0.378)



Pm3Cu2Ag3 | PBE | optimized geometry

Properties
The space group is Cmcm (63). The formation energy is -22.47 kJ per mole of atoms. Its energy above the lowest structure with this stoichiometry is 0.000 eV per atom.

Cell: 4.148 5.611 16.809 Å, 90.00 90.00 111.69°
Fractional positions:
Ag (0.641, 0.282, 0.468)
Ag (0.630, 0.260, 0.750)
Ag (0.370, 0.740, 0.250)
Ag (0.359, 0.718, 0.532)
Ag (0.359, 0.718, 0.968)
Ag (0.641, 0.282, 0.032)
Pm (0.344, 0.688, 0.750)
Pm (0.933, 0.866, 0.105)
Pm (0.067, 0.134, 0.895)
Pm (0.067, 0.134, 0.605)
Pm (0.933, 0.866, 0.395)
Pm (0.656, 0.312, 0.250)
Cu (0.222, 0.444, 0.117)
Cu (0.222, 0.444, 0.383)
Cu (0.778, 0.556, 0.883)
Cu (0.778, 0.556, 0.617)



Pm4CuAg3 | PBE | optimized geometry

Properties
The space group is P4/mmm (123). The formation energy is -23.44 kJ per mole of atoms. Its energy above the lowest structure with this stoichiometry is 0.000 eV per atom.

Cell: 3.687 3.687 14.826 Å, 90.00 90.00 90.00°
Fractional positions:
Pm (0.000, 0.000, 0.372)
Pm (0.000, 0.000, 0.628)
Pm (0.000, 0.000, 0.884)
Pm (0.000, 0.000, 0.116)
Cu (0.500, 0.500, 0.000)
Ag (0.500, 0.500, 0.755)
Ag (0.500, 0.500, 0.245)
Ag (0.500, 0.500, 0.500)



PmCuAg | PBE | optimized geometry

Properties
The space group is I4mm (107). The formation energy is -14.66 kJ per mole of atoms. Its energy above the lowest structure with this stoichiometry is 0.096 eV per atom.

Cell: 3.662 3.662 5.392 Å, 109.85 109.85 90.00°
Fractional positions:
Ag (0.631, 0.631, 0.262)
Cu (0.273, 0.273, 0.546)
Pm (0.946, 0.946, 0.891)



PmCuAg2 | PBE | optimized geometry

Properties
The space group is C2/c (15). The formation energy is -20.00 kJ per mole of atoms. Its energy above the lowest structure with this stoichiometry is 0.025 eV per atom.

Cell: 5.311 5.348 7.172 Å, 68.11 79.25 59.99°
Fractional positions:
Cu (0.250, 0.750, 0.499)
Cu (0.750, 0.250, 0.501)
Ag (0.407, 0.589, 0.168)
Ag (0.093, 0.243, 0.168)
Ag (0.593, 0.411, 0.832)
Ag (0.907, 0.757, 0.832)
Pm (0.250, 0.136, 0.728)
Pm (0.750, 0.864, 0.272)



Pm6Cu5Ag | PBE | optimized geometry

Properties
The space group is C2/m (12). The formation energy is -16.92 kJ per mole of atoms.

Cell: 5.112 7.148 8.819 Å, 66.09 73.04 90.00°
Fractional positions:
Cu (0.000, 0.500, 0.000)
Cu (0.665, 0.164, 0.672)
Cu (0.335, 0.836, 0.328)
Cu (0.334, 0.334, 0.332)
Cu (0.666, 0.666, 0.668)
Pm (0.500, 0.741, 0.000)
Pm (0.170, 0.424, 0.660)
Pm (0.830, 0.576, 0.340)
Pm (0.500, 0.259, 0.000)
Pm (0.170, 0.916, 0.660)
Pm (0.830, 0.084, 0.340)
Ag (0.000, 0.000, 0.000)



PmCuAg2 | PBE | optimized geometry

Properties
The space group is P2_1/m (11). The formation energy is -22.45 kJ per mole of atoms. Its energy above the lowest structure with this stoichiometry is 0.000 eV per atom.

Cell: 4.179 5.424 7.751 Å, 90.00 90.00 112.70°
Fractional positions:
Ag (0.642, 0.283, 0.945)
Ag (0.358, 0.717, 0.055)
Ag (0.642, 0.283, 0.555)
Ag (0.358, 0.717, 0.445)
Pm (0.066, 0.132, 0.250)
Pm (0.934, 0.868, 0.750)
Cu (0.774, 0.552, 0.250)
Cu (0.226, 0.448, 0.750)



Pm4Cu2Ag5 | PBE | optimized geometry

Properties
The space group is P2/m (10). The formation energy is -20.81 kJ per mole of atoms.

Cell: 3.940 7.456 8.821 Å, 91.84 90.00 90.00°
Fractional positions:
Pm (0.500, 0.795, 0.143)
Pm (0.500, 0.205, 0.857)
Pm (0.500, 0.759, 0.596)
Pm (0.500, 0.241, 0.404)
Ag (0.000, 0.859, 0.870)
Ag (0.000, 0.500, 0.000)
Ag (0.000, 0.141, 0.130)
Ag (0.000, 0.433, 0.657)
Ag (0.000, 0.567, 0.343)
Cu (0.000, 0.070, 0.627)
Cu (0.000, 0.930, 0.373)



PmCu4Ag8 | PBE | optimized geometry

Properties
The space group is I4/mmm (139). The formation energy is -3.82 kJ per mole of atoms.

Cell: 5.195 7.084 7.084 Å, 82.27 68.49 68.49°
Fractional positions:
Ag (0.652, 0.348, 0.348)
Ag (0.000, 0.348, 0.652)
Ag (0.282, 0.218, 0.218)
Ag (0.500, 0.218, 0.782)
Ag (0.500, 0.782, 0.218)
Ag (0.348, 0.652, 0.652)
Ag (0.000, 0.652, 0.348)
Ag (0.718, 0.782, 0.782)
Cu (0.000, 0.000, 0.500)
Cu (0.000, 0.500, 0.000)
Cu (0.500, 0.500, 0.000)
Cu (0.500, 0.000, 0.500)
Pm (0.000, 0.000, 0.000)